The following is a DFT calculation (PBE) of a geometry-optimized Hf5Re4Pt structure.

Calculated values
Volume, Å³ per cell: 177.1
Space group: P4/mmm (123)
Energy of formation from the pure elements, eV per atom: -0.5188

a b c (Å): 3.294 3.294 16.328
angles (deg): 90.00 90.00 90.00
Fractional coordinates of all 10 atoms:
Hf 0.500 0.500 0.300
Hf 0.500 0.500 0.105
Hf 0.500 0.500 0.500
Hf 0.500 0.500 0.700
Hf 0.500 0.500 0.895
Re 0.000 0.000 0.600
Re 0.000 0.000 0.198
Re 0.000 0.000 0.400
Re 0.000 0.000 0.802
Pt 0.000 0.000 0.000